The following is a PBE calculation of a geometry-optimized Ho2Tm8Al structure, from the Alexandria database.

ΔE_f   -1.0 kcal/mol of atoms
Energy   -4.467 eV per atom
V   29.1 A^3/atom
Fermi-level density of states   1.2953 states/eV/atom

Cell lengths 18.9186, 5.3944, 6.2943 Å; angles 90.00, 94.43, 90.00 degrees
With the nearest neighbours (Å) after each atom.
Space group C2/m (No. 12)
Symmetry-distinct sites (fractional):
1 Ho 0.2424 0.0000 0.3327 [4 per cell]  8 Tm 3.35-3.58, 2 Ho 3.42
2 Tm 0.0436 0.0000 0.2555 [4 per cell]  2 Al 3.22, 5 Tm 3.50-3.60
3 Tm 0.0778 0.5000 0.6016 [4 per cell]  1 Al 3.00, 3 Tm 3.12-3.28
4 Tm 0.1539 0.0000 0.8093 [4 per cell]  6 Tm 3.28-3.63, 4 Ho 3.49-3.58
5 Tm 0.1579 0.5000 0.1233 [4 per cell]  1 Al 3.03, 2 Tm 3.34, 2 Ho 3.35
6 Al 0.0000 0.5000 0.0000 [2 per cell]  8 Tm 3.00-3.22